# LiCrAs (PBE, optimized geometry)
data_LiCrAs
_chemical_formula_sum 'Li4 Cr4 As4'
_symmetry_space_group_name_H-M 'C m c m'
_symmetry_Int_Tables_number 63
_symmetry_space_group_name_Hall '-C 2c 2'
_cell_length_a 3.2961
_cell_length_b 13.7642
_cell_length_c 3.9094
_cell_angle_alpha 90.00
_cell_angle_beta 90.00
_cell_angle_gamma 90.00
loop_
_atom_site_label
_atom_site_type_symbol
_atom_site_fract_x
_atom_site_fract_y
_atom_site_fract_z
Li1 Li 0.0000 0.0787 0.2500
Cr1 Cr 0.0000 0.2564 0.7500
As1 As 0.0000 0.3735 0.2500
# * formation energy from the elements: -0.3353 eV per atom
# * Fermi-level density of states: 1.3 states/eV/f.u.

***

# Y6Bi5Se (PBE, optimized geometry)
data_Y6Bi5Se
_chemical_formula_sum 'Y12 Bi10 Se2'
_symmetry_space_group_name_H-M 'C 1 2/m 1'
_symmetry_Int_Tables_number 12
_cell_length_a 7.6640
_cell_length_b 13.2488
_cell_length_c 7.6565
_cell_angle_alpha 90.00
_cell_angle_beta 109.47
_cell_angle_gamma 90.00
loop_
_symmetry_equiv_pos_as_xyz
'x,y,z'
'-x,-y,-z'
'-x,y,-z'
'x,-y,z'
'x+1/2,y+1/2,z'
'-x+1/2,-y+1/2,-z'
'-x+1/2,y+1/2,-z'
'x+1/2,-y+1/2,z'
loop_
_atom_site_label
_atom_site_type_symbol
_atom_site_fract_x
_atom_site_fract_y
_atom_site_fract_z
Y1 Y 0.2403 0.0000 0.2499
Y2 Y 0.2423 0.1618 0.7429
Bi1 Bi 0.0000 0.1712 0.0000
Bi2 Bi 0.0000 0.3345 0.5000
Bi3 Bi 0.0000 0.5000 0.0000
Se1 Se 0.0000 0.0000 0.5000
# * formation energy (no corrections): -1.04 eV/atom
# * Fermi-level density of states: 2.9 states/eV/f.u.

***

# Nd3Mg2Pd3 (PBE, optimized geometry)
data_Nd3Mg2Pd3
_chemical_formula_sum 'Nd6 Mg4 Pd6'
_symmetry_space_group_name_H-M 'P 63/m c m'
_symmetry_Int_Tables_number 193
_symmetry_space_group_name_Hall '-P 6c 2'
_cell_length_a 8.5826
_cell_length_b 8.5826
_cell_length_c 5.9211
_cell_angle_alpha 90.00
_cell_angle_beta 90.00
_cell_angle_gamma 120.00
loop_
_atom_site_label
_atom_site_type_symbol
_atom_site_fract_x
_atom_site_fract_y
_atom_site_fract_z
Nd1 Nd 0.0000 0.2659 0.2500
Mg1 Mg 0.3333 0.6667 0.0000
Pd1 Pd 0.0000 0.3972 0.7500
# * formation energy from the elements: -0.6463 eV per atom
# * Fermi-level density of states: 5.6 states/eV/f.u.

***

# Mg5Tl6Sn (PBE, optimized geometry)
data_Mg5Tl6Sn
_chemical_formula_sum 'Mg10 Tl12 Sn2'
_symmetry_space_group_name_H-M 'C 1 2/m 1'
_symmetry_Int_Tables_number 12
_cell_length_a 9.9266
_cell_length_b 14.3406
_cell_length_c 4.9021
_cell_angle_alpha 90.00
_cell_angle_beta 117.64
_cell_angle_gamma 90.00
loop_
_symmetry_equiv_pos_as_xyz
'x,y,z'
'-x,-y,-z'
'-x,y,-z'
'x,-y,z'
'x+1/2,y+1/2,z'
'-x+1/2,-y+1/2,-z'
'-x+1/2,y+1/2,-z'
'x+1/2,-y+1/2,z'
loop_
_atom_site_label
_atom_site_type_symbol
_atom_site_fract_x
_atom_site_fract_y
_atom_site_fract_z
Mg1 Mg 0.0000 0.0000 0.0000
Mg2 Mg 0.0000 0.1769 0.5000
Mg3 Mg 0.0000 0.3478 0.0000
Tl1 Tl 0.2268 0.0000 0.7243
Tl2 Tl 0.2355 0.1693 0.2333
Sn1 Sn 0.0000 0.5000 0.5000
# * formation energy from the elements: -0.0044 eV per atom
# * Fermi-level density of states: 4.6 states/eV/f.u.

***

# Dy2HoErTe6 (PBE, optimized geometry)
data_Dy2HoErTe6
_chemical_formula_sum 'Dy6 Ho3 Er3 Te18'
_symmetry_space_group_name_H-M 'R 3'
_symmetry_Int_Tables_number 146
_symmetry_space_group_name_Hall 'R 3'
_cell_length_a 7.6655
_cell_length_b 7.6655
_cell_length_c 21.0129
_cell_angle_alpha 90.00
_cell_angle_beta 90.00
_cell_angle_gamma 120.00
loop_
_atom_site_label
_atom_site_type_symbol
_atom_site_fract_x
_atom_site_fract_y
_atom_site_fract_z
Dy1 Dy 0.0000 0.0000 0.0000
Dy2 Dy 0.0000 0.0000 0.4998
Ho1 Ho 0.0000 0.0000 0.3144
Er1 Er 0.0000 0.0000 0.8147
Te1 Te 0.0025 0.6874 0.9065
Te2 Te 0.0036 0.3165 0.4067
# * formation energy (no corrections): -1.36 eV/atom

***

no.,raw total energy (eV for the cell shown)
1,-68.8
2,-148.2
3,-76.5
4,-52.5
5,-152.2